1.
{"formula": "RhAuCl2", "functional": "PBE", "state": "relaxed", "spacegroup": "R-3m (166)", "energy_ev_per_atom": -3.432, "e_above_lowest_polymorph_mev_per_atom": 246, "volume_a3_per_cell": 89.5, "m_tot_mub_per_fu": 1.0, "lattice": [[9.799, 0.124, 0.073], [9.210, 3.349, 0.073], [9.210, 1.683, 2.896]], "species": ["Rh", "Au", "Cl", "Cl"], "frac_coords": [[0.250, 0.250, 0.250], [0.750, 0.750, 0.750], [0.970, 0.970, 0.970], [0.530, 0.530, 0.530]]}

2.
{"formula": "RhAuCl", "functional": "PBE", "state": "relaxed", "spacegroup": "C2/m (12)", "energy_ev_per_atom": -4.113, "e_above_lowest_polymorph_mev_per_atom": 24, "volume_a3_per_cell": 244.4, "m_tot_mub_per_fu": 0.0, "lattice": [[-5.942, 2.008, -0.076], [-0.902, -2.722, -1.421], [2.848, -6.671, 10.968]], "species": ["Rh", "Rh", "Rh", "Rh", "Au", "Au", "Au", "Au", "Cl", "Cl", "Cl", "Cl"], "frac_coords": [[0.000, 0.500, 0.000], [0.000, 0.000, 0.500], [0.500, 0.500, 0.500], [0.500, 0.000, 0.000], [0.946, 0.000, 0.159], [0.054, 0.000, 0.841], [0.946, 0.500, 0.659], [0.054, 0.500, 0.341], [0.391, 0.000, 0.601], [0.609, 0.000, 0.399], [0.391, 0.500, 0.101], [0.609, 0.500, 0.899]]}

3.
{"formula": "RhAuCl2", "functional": "PBE", "state": "relaxed", "spacegroup": "Cmmm (65)", "energy_ev_per_atom": -3.437, "e_above_lowest_polymorph_mev_per_atom": 241, "volume_a3_per_cell": 85.1, "m_tot_mub_per_fu": 0.0, "lattice": [[3.160, -0.011, 0.000], [-1.661, 2.689, 0.000], [0.000, 0.000, 10.033]], "species": ["Rh", "Au", "Cl", "Cl"], "frac_coords": [[0.500, 0.500, 0.250], [0.500, 0.500, 0.750], [0.000, 0.000, 0.073], [0.000, 0.000, 0.427]]}

4.
{"formula": "RhAuCl", "functional": "PBE", "state": "relaxed", "spacegroup": "Fmm2 (42)", "energy_ev_per_atom": -3.882, "e_above_lowest_polymorph_mev_per_atom": 255, "volume_a3_per_cell": 55.0, "m_tot_mub_per_fu": 0.0, "lattice": [[7.267, 0.004, -0.003], [6.304, 2.907, -0.009], [0.963, -1.268, 2.611]], "species": ["Au", "Cl", "Rh"], "frac_coords": [[0.014, 0.014, 0.986], [0.308, 0.308, 0.692], [0.678, 0.678, 0.322]]}